Entry P
Material: CaZr3Co
Method: DFT, GGA-PBE
State: relaxed

Cell: 4.929 4.929 4.929 Å, 90.00 90.00 90.00°
Atoms (fractional coordinates):
Ca: 0.000 0.000 0.000
Zr: 0.000 0.000 0.500
Zr: 0.000 0.500 0.000
Zr: 0.500 0.000 0.000
Co: 0.500 0.500 0.500

## Properties
SG = Pm-3m (221)


Entry Q
Material: CaZr3Co
Method: DFT, GGA-PBE
State: relaxed

Cell: 4.978 4.978 4.978 Å, 90.00 90.00 90.00°
Atoms (fractional coordinates):
Ca: 0.000 0.000 0.000
Zr: 0.000 0.500 0.500
Zr: 0.500 0.000 0.500
Zr: 0.500 0.500 0.000
Co: 0.500 0.500 0.500

## Properties
SG = Pm-3m (221)


Energy relative to the most stable one, in kJ/mol of atoms: entry P 177.9; entry Q 0.0


Entry P
Material: Ca2ZrCo2
Method: DFT, GGA-PBE
State: relaxed

Cell: 6.656 6.656 4.725 Å, 90.00 90.00 90.00°
Atoms (fractional coordinates):
Ca: 0.173 0.327 0.000
Ca: 0.327 0.827 0.000
Ca: 0.673 0.173 0.000
Ca: 0.827 0.673 0.000
Zr: 0.000 0.000 0.500
Zr: 0.500 0.500 0.500
Co: 0.119 0.619 0.500
Co: 0.381 0.119 0.500
Co: 0.619 0.881 0.500
Co: 0.881 0.381 0.500

## Properties
SG = P4/mbm (127)


Entry Q
Material: Ca2ZrCo2
Method: DFT, GGA-PBE
State: relaxed

Cell: 5.698 5.698 5.698 Å, 130.83 130.83 72.08°
Atoms (fractional coordinates):
Ca: 0.147 0.147 0.000
Ca: 0.853 0.853 0.000
Zr: 0.500 0.500 0.000
Co: 0.250 0.750 0.500
Co: 0.750 0.250 0.500

## Properties
SG = I4/mmm (139)


Energy relative to the most stable one, in kJ/mol of atoms: entry P 0.0; entry Q 64.7


Entry P
Material: CaCr
Method: DFT, GGA-PBE
State: relaxed

Cell: 8.408 7.532 5.539 Å, 78.44 61.36 40.20°
Atoms (fractional coordinates):
Ca: 0.042 0.708 0.042
Ca: 0.292 0.958 0.292
Ca: 0.708 0.042 0.708
Ca: 0.958 0.292 0.958
Cr: 0.311 0.311 0.439
Cr: 0.439 0.439 0.311
Cr: 0.561 0.561 0.689
Cr: 0.689 0.689 0.561

## Properties
SG = Fddd (70)


Entry Q
Material: CaCr
Method: DFT, GGA-PBE
State: relaxed

Cell: 3.502 3.502 5.148 Å, 90.00 90.00 120.00°
Atoms (fractional coordinates):
Ca: 0.000 0.000 0.000
Cr: 0.667 0.333 0.500

## Properties
SG = P-6m2 (187)


Entry R
Material: CaCr
Method: DFT, GGA-PBE
State: relaxed

Cell: 7.666 7.666 7.666 Å, 109.47 109.47 109.47°
Atoms (fractional coordinates):
Ca: 0.000 0.000 0.571
Ca: 0.000 0.571 0.000
Ca: 0.429 0.429 0.429
Ca: 0.571 0.000 0.000
Cr: 0.000 0.000 0.174
Cr: 0.000 0.174 0.000
Cr: 0.174 0.000 0.000
Cr: 0.826 0.826 0.826

## Properties
SG = I-43m (217)


Entry S
Material: CaCr
Method: DFT, GGA-PBE
State: relaxed

Cell: 3.785 3.785 3.785 Å, 90.00 90.00 90.00°
Atoms (fractional coordinates):
Ca: 0.000 0.000 0.000
Cr: 0.500 0.500 0.500

## Properties
SG = Pm-3m (221)


Energy relative to the most stable one, in kJ/mol of atoms: entry P 0.0; entry Q 19.5; entry R 53.3; entry S 2.7


Entry P
Material: CaCr4
Method: DFT, GGA-PBE
State: relaxed

Cell: 4.777 4.777 4.777 Å, 90.00 90.00 90.00°
Atoms (fractional coordinates):
Ca: 0.000 0.000 0.000
Cr: 0.000 0.000 0.500
Cr: 0.000 0.500 0.000
Cr: 0.500 0.000 0.000
Cr: 0.500 0.500 0.500

## Properties
SG = Pm-3m (221)


Entry Q
Material: CaCr4
Method: DFT, GGA-PBE
State: relaxed

Cell: 5.785 5.785 5.785 Å, 109.47 109.47 109.47°
Atoms (fractional coordinates):
Ca: 0.000 0.000 0.000
Cr: 0.000 0.000 0.500
Cr: 0.000 0.500 0.000
Cr: 0.500 0.000 0.000
Cr: 0.500 0.500 0.500

## Properties
SG = Im-3m (229)


Energy relative to the most stable one, in kJ/mol of atoms: entry P 9.2; entry Q 0.0


Entry P
Material: CaCr5
Method: DFT, GGA-PBE
State: relaxed

Cell: 4.632 4.632 7.567 Å, 105.05 105.05 36.61°
Atoms (fractional coordinates):
Ca: 0.000 0.000 0.000
Cr: 0.000 0.000 0.500
Cr: 0.330 0.330 0.277
Cr: 0.331 0.331 0.632
Cr: 0.669 0.669 0.368
Cr: 0.670 0.670 0.723

## Properties
SG = C2/m (12)


Entry Q
Material: CaCr5
Method: DFT, GGA-PBE
State: relaxed

Cell: 4.372 7.650 7.650 Å, 22.74 90.00 90.00°
Atoms (fractional coordinates):
Ca: 0.000 0.000 0.000
Cr: 0.000 0.322 0.322
Cr: 0.000 0.703 0.703
Cr: 0.500 0.202 0.202
Cr: 0.500 0.585 0.585
Cr: 0.500 0.840 0.840

## Properties
SG = Amm2 (38)


Energy relative to the most stable one, in kJ/mol of atoms: entry P 0.0; entry Q 4.3


Entry P
Material: CaCr2
Method: DFT, GGA-PBE
State: relaxed

Cell: 5.183 5.183 6.147 Å, 90.00 90.00 120.00°
Atoms (fractional coordinates):
Ca: 0.333 0.667 0.250
Ca: 0.667 0.333 0.750
Cr: 0.000 0.000 0.000
Cr: 0.000 0.000 0.500
Cr: 0.333 0.667 0.750
Cr: 0.667 0.333 0.250

## Properties
SG = P6_3/mmc (194)


Entry Q
Material: CaCr2
Method: DFT, GGA-PBE
State: relaxed

Cell: 7.116 7.116 7.116 Å, 90.00 90.00 90.00°
Atoms (fractional coordinates):
Ca: 0.000 0.000 0.000
Ca: 0.000 0.500 0.500
Ca: 0.500 0.000 0.500
Ca: 0.500 0.500 0.000
Cr: 0.113 0.613 0.887
Cr: 0.113 0.887 0.387
Cr: 0.387 0.113 0.887
Cr: 0.387 0.387 0.387
Cr: 0.613 0.613 0.613
Cr: 0.613 0.887 0.113
Cr: 0.887 0.113 0.613
Cr: 0.887 0.387 0.113

## Properties
SG = Pa-3 (205)


Energy relative to the most stable one, in kJ/mol of atoms: entry P 0.0; entry Q 59.8


Entry P
Material: Ca4Cr
Method: DFT, GGA-PBE
State: relaxed

Cell: 6.408 6.408 6.408 Å, 109.47 109.47 109.47°
Atoms (fractional coordinates):
Ca: 0.000 0.000 0.500
Ca: 0.000 0.500 0.000
Ca: 0.500 0.000 0.000
Ca: 0.500 0.500 0.500
Cr: 0.000 0.000 0.000

## Properties
SG = Im-3m (229)


Entry Q
Material: Ca4Cr
Method: DFT, GGA-PBE
State: relaxed

Cell: 5.872 5.872 5.872 Å, 90.00 90.00 90.00°
Atoms (fractional coordinates):
Ca: 0.000 0.000 0.000
Ca: 0.000 0.500 0.500
Ca: 0.500 0.000 0.500
Ca: 0.500 0.500 0.000
Cr: 0.500 0.500 0.500

## Properties
SG = Pm-3m (221)


Energy relative to the most stable one, in kJ/mol of atoms: entry P 5.3; entry Q 0.0


Entry P
Material: CaCrCu2
Method: DFT, GGA-PBE
State: relaxed

Cell: 4.525 4.525 3.393 Å, 90.09 90.09 90.47°
Atoms (fractional coordinates):
Ca: 0.000 0.000 0.000
Cr: 0.500 0.500 0.000
Cu: 0.000 0.500 0.500
Cu: 0.500 0.000 0.500

## Properties
SG = C2/m (12)


Entry Q
Material: CaCrCu2
Method: DFT, GGA-PBE
State: relaxed

Cell: 5.142 5.142 4.759 Å, 108.37 108.37 36.96°
Atoms (fractional coordinates):
Ca: 0.000 0.000 0.000
Cr: 0.212 0.212 0.658
Cu: 0.472 0.472 0.484
Cu: 0.767 0.767 0.260

## Properties
SG = Cm (8)


Entry R
Material: CaCrCu2
Method: DFT, GGA-PBE
State: relaxed

Cell: 4.641 4.641 4.641 Å, 60.00 60.00 60.00°
Atoms (fractional coordinates):
Ca: 0.000 0.000 0.000
Cr: 0.500 0.500 0.500
Cu: 0.250 0.250 0.250
Cu: 0.750 0.750 0.750

## Properties
SG = Fm-3m (225)


Entry S
Material: CaCrCu2
Method: DFT, GGA-PBE
State: relaxed

Cell: 4.304 4.304 5.492 Å, 112.96 112.96 60.07°
Atoms (fractional coordinates):
Ca: 0.000 0.000 0.000
Cr: 0.500 0.500 0.500
Cu: 0.196 0.196 0.589
Cu: 0.804 0.804 0.411

## Properties
SG = C2/m (12)


Energy relative to the most stable one, in kJ/mol of atoms: entry P 10.7; entry Q 12.7; entry R 8.9; entry S 0.0